(1)
# PaIn4

PaIn4 after structural relaxation (PBE, the Alexandria database).

Cell lengths 8.899, 8.899, 8.899 Å; angles 148.54, 136.35, 54.79 degrees
Element x y z (fractional)
Pa 0.349 0.099 0.250
Pa 0.651 0.901 0.750
In 0.000 0.500 0.500
In 0.143 0.893 0.250
In 0.202 0.698 0.504
In 0.306 0.302 0.004
In 0.500 0.500 0.000
In 0.694 0.698 0.996
In 0.798 0.302 0.496
In 0.857 0.107 0.750

Properties
Its offset from the most stable computed form is 0.000 eV per atom. The volume is 126.1 Å³/f.u. The density of states at the Fermi level comes out at 1.046 states/eV/atom. Its energy relative to the elements is -0.028 eV/atom. The calculated total energy is -41.18 eV for the cell shown. Its calculated density is 9089 kg/m³.


(2)
# PaIn2

PaIn2 after structural relaxation (PBE, the Alexandria database).

Cell lengths 4.411, 4.406, 7.948 Å; angles 90.00, 90.18, 90.00 degrees
Element x y z (fractional)
Pa 0.000 0.000 0.000
Pa 0.500 0.500 0.000
In 0.002 0.500 0.317
In 0.498 0.000 0.683
In 0.502 0.000 0.317
In 0.998 0.500 0.683

Properties
The volume is 77.2 Å³/f.u. The density of states at the Fermi level comes out at 1.525 states/eV/atom. Its energy relative to the elements is 0.008 eV/atom. The calculated total energy is -29.90 eV for the cell shown. Its calculated density is 9905 kg/m³.


(3)
# PaIn2

PaIn2 after structural relaxation (PBE, the Alexandria database).

Cell lengths 5.966, 5.966, 5.966 Å; angles 60.00, 60.00, 60.00 degrees
Element x y z (fractional)
Pa 0.125 0.125 0.125
Pa 0.875 0.875 0.875
In 0.000 0.500 0.500
In 0.500 0.000 0.500
In 0.500 0.500 0.000
In 0.500 0.500 0.500

Properties
The volume is 75.1 Å³/f.u. The density of states at the Fermi level comes out at 1.727 states/eV/atom. Its energy relative to the elements is 0.042 eV/atom. The calculated total energy is -29.69 eV for the cell shown. Its calculated density is 10188 kg/m³.


(4)
# PaIn7

PaIn7 after structural relaxation (PBE, the Alexandria database).

Cell lengths 6.657, 6.657, 6.657 Å; angles 60.00, 60.00, 60.00 degrees
Element x y z (fractional)
Pa 0.000 0.000 0.000
In 0.000 0.000 0.500
In 0.000 0.500 0.000
In 0.000 0.500 0.500
In 0.500 0.000 0.000
In 0.500 0.000 0.500
In 0.500 0.500 0.000
In 0.500 0.500 0.500

Properties
The volume is 208.6 Å³/f.u. The density of states at the Fermi level comes out at 1.093 states/eV/atom. Its energy relative to the elements is -0.018 eV/atom. The calculated total energy is -28.81 eV for the cell shown. Its calculated density is 8237 kg/m³.


(5)
# Pa8In

Pa8In after structural relaxation (PBE, the Alexandria database).

Cell lengths 7.378, 7.378, 7.378 Å; angles 95.45, 95.45, 144.10 degrees
Element x y z (fractional)
Pa 0.000 0.330 0.330
Pa 0.000 0.670 0.670
Pa 0.330 0.000 0.330
Pa 0.335 0.335 0.671
Pa 0.335 0.665 0.000
Pa 0.665 0.335 0.000
Pa 0.665 0.665 0.329
Pa 0.670 0.000 0.670
In 0.000 0.000 0.000

Properties
Its offset from the most stable computed form is 0.005 eV per atom. The volume is 224.1 Å³/f.u. The density of states at the Fermi level comes out at 1.980 states/eV/atom. Its energy relative to the elements is 0.019 eV/atom. The calculated total energy is -78.53 eV for the cell shown. Its calculated density is 14549 kg/m³.


(6)
# Pa7In

Pa7In after structural relaxation (PBE, the Alexandria database).

Cell lengths 6.546, 6.546, 6.546 Å; angles 60.00, 60.00, 60.00 degrees
Element x y z (fractional)
Pa 0.000 0.000 0.000
Pa 0.000 0.000 0.500
Pa 0.000 0.500 0.000
Pa 0.000 0.500 0.500
Pa 0.500 0.000 0.000
Pa 0.500 0.000 0.500
Pa 0.500 0.500 0.000
In 0.500 0.500 0.500

Properties
The volume is 198.4 Å³/f.u. The density of states at the Fermi level comes out at 1.912 states/eV/atom. Its energy relative to the elements is -0.042 eV/atom. The calculated total energy is -69.55 eV for the cell shown. Its calculated density is 14499 kg/m³.


(7)
# Pa8In

Pa8In after structural relaxation (PBE, the Alexandria database).

Cell lengths 8.763, 8.763, 3.222 Å; angles 100.09, 100.09, 107.96 degrees
Element x y z (fractional)
Pa 0.169 0.169 0.676
Pa 0.170 0.830 0.000
Pa 0.174 0.497 0.339
Pa 0.497 0.174 0.339
Pa 0.503 0.826 0.661
Pa 0.826 0.503 0.661
Pa 0.830 0.170 0.000
Pa 0.831 0.831 0.324
In 0.500 0.500 0.000

Properties
Its offset from the most stable computed form is 0.000 eV per atom. The volume is 224.6 Å³/f.u. The density of states at the Fermi level comes out at 2.013 states/eV/atom. Its energy relative to the elements is 0.014 eV/atom. The calculated total energy is -78.58 eV for the cell shown. Its calculated density is 14511 kg/m³.


(8)
# PaIn2

PaIn2 after structural relaxation (PBE, the Alexandria database).

Cell lengths 7.671, 4.443, 5.896 Å; angles 90.00, 115.79, 90.00 degrees
Element x y z (fractional)
Pa 0.000 0.000 0.000
Pa 0.500 0.500 0.000
In 0.212 0.000 0.634
In 0.288 0.500 0.366
In 0.712 0.500 0.634
In 0.788 0.000 0.366

Properties
The volume is 90.5 Å³/f.u. The density of states at the Fermi level comes out at 1.731 states/eV/atom. Its energy relative to the elements is 0.419 eV/atom. The calculated total energy is -27.43 eV for the cell shown. Its calculated density is 8456 kg/m³.


(9)
# PaIn4

PaIn4 after structural relaxation (PBE, the Alexandria database).

Cell lengths 5.967, 5.967, 5.967 Å; angles 90.00, 90.00, 90.00 degrees
Element x y z (fractional)
Pa 0.000 0.000 0.000
In 0.000 0.000 0.500
In 0.000 0.500 0.000
In 0.500 0.000 0.000
In 0.500 0.500 0.500

Properties
Its offset from the most stable computed form is 0.978 eV per atom. The volume is 212.5 Å³/f.u. The density of states at the Fermi level comes out at 2.147 states/eV/atom. Its energy relative to the elements is 0.950 eV/atom. The calculated total energy is -15.70 eV for the cell shown. Its calculated density is 5394 kg/m³.


(10)
# PaInPb

PaInPb after structural relaxation (PBE, the Alexandria database).

Cell lengths 3.217, 3.217, 15.797 Å; angles 90.00, 90.00, 90.00 degrees
Element x y z (fractional)
Pa 0.000 0.000 0.000
Pa 0.500 0.500 0.500
In 0.000 0.000 0.348
In 0.500 0.500 0.848
Pb 0.000 0.000 0.666
Pb 0.500 0.500 0.166

Properties
Its offset from the most stable computed form is 0.082 eV per atom. The volume is 81.7 Å³/f.u. The density of states at the Fermi level comes out at 1.406 states/eV/atom. Its energy relative to the elements is 0.148 eV/atom. The calculated total energy is -31.00 eV for the cell shown. Its calculated density is 11234 kg/m³.


(11)
# PaIn2Pb

PaIn2Pb after structural relaxation (PBE, the Alexandria database).

Cell lengths 4.639, 4.639, 4.812 Å; angles 90.00, 90.00, 90.00 degrees
Element x y z (fractional)
Pa 0.000 0.000 0.000
In 0.000 0.500 0.500
In 0.500 0.000 0.500
Pb 0.500 0.500 0.000

Properties
Its offset from the most stable computed form is 0.000 eV per atom. The volume is 103.5 Å³/f.u. The density of states at the Fermi level comes out at 1.377 states/eV/atom. Its energy relative to the elements is -0.091 eV/atom. The calculated total energy is -19.05 eV for the cell shown. Its calculated density is 10711 kg/m³.


(12)
# PaInPb2

PaInPb2 after structural relaxation (PBE, the Alexandria database).

Cell lengths 3.313, 3.313, 36.889 Å; angles 90.00, 90.00, 120.00 degrees
Element x y z (fractional)
Pa 0.000 0.000 0.000
Pa 0.333 0.667 0.667
Pa 0.667 0.333 0.333
In 0.000 0.000 0.500
In 0.333 0.667 0.167
In 0.667 0.333 0.833
Pb 0.000 0.000 0.089
Pb 0.000 0.000 0.911
Pb 0.333 0.667 0.578
Pb 0.333 0.667 0.756
Pb 0.667 0.333 0.244
Pb 0.667 0.333 0.422

Properties
Its offset from the most stable computed form is 0.373 eV per atom. The volume is 116.9 Å³/f.u. The density of states at the Fermi level comes out at 1.173 states/eV/atom. Its energy relative to the elements is 0.315 eV/atom. The calculated total energy is -55.17 eV for the cell shown. Its calculated density is 10802 kg/m³.


> energy relative to the elements of number 1 (PaIn4)?

-0.028 eV/atom


> calculated total energy of number 5 (Pa8In)?

-78.53 eV for the cell shown


> energy relative to the elements of number 1 (PaIn4)?

-0.028 eV/atom